Entry from Alexandria: crystalline KTeW2 at its relaxed geometry (PBE).

Values from the calculation:
Final energy, eV/atom: -6.278
ΔE_f (raw), eV/atom: 1.259

CIF file:
```
data_KTeW2
_symmetry_space_group_name_H-M 'R -3 m'
_symmetry_Int_Tables_number 166
_symmetry_space_group_name_Hall '-R 3 2"'
_cell_length_a 3.1021
_cell_length_b 3.1021
_cell_length_c 31.2610
_cell_angle_alpha 90.00
_cell_angle_beta 90.00
_cell_angle_gamma 120.00
loop_
_atom_site_label
_atom_site_type_symbol
_atom_site_fract_x
_atom_site_fract_y
_atom_site_fract_z
_atom_site_occupancy
K1 K 0.0000 0.0000 0.0000 1
Te1 Te 0.0000 0.0000 0.5000 1
W1 W 0.0000 0.0000 0.2341 1
```

Entry from Alexandria: crystalline KTeW2 at its relaxed geometry (PBE).

Values from the calculation:
Final energy, eV/atom: -6.075
ΔE_f (raw), eV/atom: 1.461

CIF file:
```
data_KTeW2
_symmetry_space_group_name_H-M 'C m m m'
_symmetry_Int_Tables_number 65
_symmetry_space_group_name_Hall '-C 2 2'
_cell_length_a 3.201
_cell_length_b 4.867
_cell_length_c 11.087
_cell_angle_alpha 90.00
_cell_angle_beta 90.00
_cell_angle_gamma 90.00
loop_
_atom_site_label
_atom_site_type_symbol
_atom_site_fract_x
_atom_site_fract_y
_atom_site_fract_z
_atom_site_occupancy
K1 K 0.000 0.000 0.000 1
Te1 Te 0.000 0.000 0.500 1
W1 W 0.000 0.500 0.279 1
```

Entry from Alexandria: crystalline K2TeW at its relaxed geometry (PBE).

Values from the calculation:
Final energy, eV/atom: -3.681
ΔE_f (raw), eV/atom: 0.892

CIF file:
```
data_K2TeW
_symmetry_space_group_name_H-M 'P m m m'
_symmetry_Int_Tables_number 47
_symmetry_space_group_name_Hall '-P 2 2'
_cell_length_a 4.702
_cell_length_b 4.714
_cell_length_c 6.015
_cell_angle_alpha 90.00
_cell_angle_beta 90.00
_cell_angle_gamma 90.00
loop_
_atom_site_label
_atom_site_type_symbol
_atom_site_fract_x
_atom_site_fract_y
_atom_site_fract_z
_atom_site_occupancy
K1 K 0.000 0.000 0.245 1
Te1 Te 0.500 0.500 0.000 1
W1 W 0.500 0.500 0.500 1
```

Entry from Alexandria: crystalline K2TeW at its relaxed geometry (PBE).

Values from the calculation:
Final energy, eV/atom: -3.844
ΔE_f (raw), eV/atom: 0.728

CIF file:
```
data_K2TeW
_symmetry_space_group_name_H-M 'C 1 m 1'
_symmetry_Int_Tables_number 8
_symmetry_space_group_name_Hall 'C -2y'
_cell_length_a 13.458
_cell_length_b 3.690
_cell_length_c 6.118
_cell_angle_alpha 90.00
_cell_angle_beta 110.29
_cell_angle_gamma 90.00
loop_
_atom_site_label
_atom_site_type_symbol
_atom_site_fract_x
_atom_site_fract_y
_atom_site_fract_z
_atom_site_occupancy
K1 K 0.000 0.000 0.000 1
K2 K 0.187 0.000 0.648 1
Te1 Te 0.260 0.500 0.198 1
W1 W 0.412 0.000 0.427 1
```

no.,density of states at the Fermi level (states/eV/cell)
1,8.7
2,5.9
3,1.4
4,3.4